1.
This record from the Alexandria database describes a geometry-optimized InGa2SnI8 structure. The functional is PBE-GGA.

Properties
energy = -2.473 eV per atom
N(E_F) = 6.583 states/eV/f.u.
total magnetization = 0.00 μB per cell

abc: 7.572 7.572 10.873
angles: 90.00 90.00 120.00
Fractional coordinates of all 12 atoms:
In1 0.000 0.000 0.000
Ga1 0.333 0.667 0.767
Ga2 0.667 0.333 0.233
Sn1 0.000 0.000 0.500
I1 0.001 0.675 0.312
I2 0.325 0.326 0.312
I3 0.326 0.001 0.688
I4 0.333 0.667 0.008
I5 0.667 0.333 0.992
I6 0.674 0.999 0.312
I7 0.675 0.674 0.688
I8 0.999 0.325 0.688

=====

2.
This record from the Alexandria database describes a geometry-optimized TbInGa2I6 structure. The functional is PBE-GGA.

Properties
energy = -3.051 eV per atom
N(E_F) = 0.000 states/eV/f.u.
total magnetization = 0.00 μB per cell

abc: 8.228 8.234 8.861
angles: 90.00 62.34 60.03
Fractional coordinates of all 10 atoms:
Tb1 0.000 0.000 0.000
In1 0.985 0.508 0.523
Ga1 0.357 0.321 0.964
Ga2 0.371 0.814 0.443
I1 0.158 0.752 0.217
I2 0.190 0.613 0.742
I3 0.456 0.932 0.742
I4 0.535 0.090 0.217
I5 0.871 0.197 0.741
I6 0.873 0.375 0.217

=====

3.
This record from the Alexandria database describes a geometry-optimized TbIn2GaI6 structure. The functional is PBE-GGA.

Properties
energy = -3.045 eV per atom
N(E_F) = 0.000 states/eV/f.u.
total magnetization = 0.00 μB per cell

abc: 8.778 8.778 8.778
angles: 57.66 57.66 57.66
Fractional coordinates of all 10 atoms:
Tb1 0.000 0.000 0.000
In1 0.308 0.308 0.308
In2 0.800 0.800 0.800
Ga1 0.506 0.506 0.506
I1 0.133 0.344 0.751
I2 0.219 0.877 0.646
I3 0.344 0.751 0.133
I4 0.646 0.219 0.877
I5 0.751 0.133 0.344
I6 0.877 0.646 0.219